DFT (PBE) results for a geometry-optimized BRu2OF structure.

Results
The energy relative to the elements, uncorrected comes out at 0.823 eV/atom. The volume is 12.33 Å³/atom. The value obtained for the spin magnetization is 0.74 μB/cell.

Cell lengths 3.883, 3.883, 4.088 Å; angles 90.00, 90.00, 90.00 degrees
Site moments in Bohr magnetons follow the coordinates.
Fractional positions:
Ru: 0.000 0.500 0.000  0.42
Ru: 0.500 0.000 0.000  0.42
B: 0.500 0.500 0.500  -0.04
O: 0.000 0.000 0.000  -0.03
F: 0.000 0.000 0.500  -0.03


DFT (PBE) results for a geometry-optimized Ba2ReI structure.

Results
The energy relative to the elements, uncorrected comes out at 0.492 eV/atom. The volume is 35.19 Å³/atom. The value obtained for the spin magnetization is 2.03 μB/cell.

Cell lengths 5.839, 5.839, 5.839 Å; angles 60.00, 60.00, 60.00 degrees
Site moments in Bohr magnetons follow the coordinates.
Fractional positions:
I: 0.000 0.000 0.000  0.04
Re: 0.500 0.500 0.500  1.88
Ba: 0.250 0.250 0.250  -0.07
Ba: 0.750 0.750 0.750  -0.07


DFT (PBE) results for a geometry-optimized YErTlSe structure.

Results
The energy relative to the elements, uncorrected comes out at -0.981 eV/atom. The volume is 26.58 Å³/atom. The value obtained for the spin magnetization is 0.00 μB/cell.

Cell lengths 3.823, 3.823, 8.399 Å; angles 89.99, 89.99, 60.00 degrees
Fractional positions:
Y: 0.535 0.535 0.596
Er: 0.201 0.201 0.029
Tl: 0.868 0.868 0.310
Se: 0.868 0.868 0.815


DFT (PBE) results for a geometry-optimized KH2AuF8 structure.

Results
The electronic total energy is -3.677 eV per atom. The volume is 15.18 Å³/atom. The value obtained for the spin magnetization is 0.00 μB/cell.

Cell lengths 5.069, 5.067, 7.722 Å; angles 83.34, 81.79, 68.50 degrees
Fractional positions:
K: 0.000 0.000 0.500
H: 0.308 0.290 0.729
H: 0.692 0.710 0.271
Au: 0.000 0.000 0.000
F: 0.231 0.764 0.181
F: 0.758 0.772 0.055
F: 0.774 0.239 0.188
F: 0.769 0.236 0.819
F: 0.242 0.228 0.945
F: 0.226 0.761 0.812
F: 0.674 0.702 0.398
F: 0.326 0.298 0.602


DFT (PBE) results for a geometry-optimized ZnInSe2 structure.

Results
The energy relative to the elements, uncorrected comes out at -0.411 eV/atom. The volume is 23.92 Å³/atom. The value obtained for the spin magnetization is 0.00 μB/cell.

Cell lengths 5.413, 4.189, 4.257 Å; angles 82.44, 90.00, 90.00 degrees
Fractional positions:
In: 0.500 0.838 0.842
Se: 0.000 0.917 0.936
Se: 0.500 0.400 0.410
Zn: 0.000 0.344 0.312


DFT (PBE) results for a geometry-optimized LaEuInGa structure.

Results
The electronic total energy is -5.711 eV per atom. The volume is 28.94 Å³/atom. The value obtained for the spin magnetization is 7.37 μB/cell.

Cell lengths 5.470, 5.470, 5.470 Å; angles 60.00, 60.00, 60.00 degrees
Site moments in Bohr magnetons follow the coordinates.
Fractional positions:
Eu: 0.000 0.000 0.000  6.86
In: 0.750 0.750 0.750  0.01
Ga: 0.250 0.250 0.250  0.01
La: 0.500 0.500 0.500  0.08